Material: Rb2CaAgPd
Method: DFT, meta-GGA SCAN
State: PBEsol geometry

The space group is P4/mmm (No. 123) and the conventional cell measures 6.104, 6.104 and 5.265 Å, with angles of 90.00, 90.00 and 90.00 degrees. The inequivalent atoms are Rb at (0.000, 0.500, 0.000), Ca at (0.000, 0.000, 0.500), Ag at (0.500, 0.500, 0.500) and Pd at (0.500, 0.500, 0.000).

The formation energy is 0.39 eV/atom.

Material: CaHfZn2F
Method: DFT, meta-GGA SCAN
State: PBEsol geometry

The space group is P4/mmm (No. 123) and the conventional cell measures 5.307, 5.307 and 3.903 Å, with angles of 90.00, 90.00 and 90.00 degrees. The inequivalent atoms are Ca at (0.000, 0.000, 0.000), Hf at (0.500, 0.500, 0.500), Zn at (0.000, 0.500, 0.000) and F at (0.000, 0.000, 0.500).

no.,raw total energy (eV per cell)
1,-113.319
2,-103.875